This record from Alexandria describes a PBEsol-optimized structure of Tl4SnSe3. The functional is meta-GGA SCAN.

```
Tl4SnSe3
1.0
8.3122 0.0000 0.0000
0.0000 8.3523 0.0093
0.0000 -0.0099 25.5320
Se Tl Sn
24 32 8
direct
0.3995 0.4259 0.0036
0.5909 0.8895 0.0022
0.9400 0.6070 0.4965
0.7478 0.2696 0.6453
0.2635 0.7338 0.6049
0.4400 0.3930 0.5035
0.5693 0.6074 0.7489
0.1151 0.0661 0.4976
0.2661 0.7457 0.1093
0.9009 0.9279 0.2520
0.8954 0.9405 0.7547
0.6151 0.9339 0.5024
0.2442 0.7458 0.8507
0.8995 0.5741 0.9964
0.7635 0.2662 0.3951
0.7661 0.2543 0.8907
0.2478 0.7304 0.3547
0.5697 0.6040 0.2466
0.4009 0.0721 0.7480
0.7442 0.2542 0.1493
0.0909 0.1105 0.9978
0.3954 0.0595 0.2453
0.0697 0.3960 0.7534
0.0693 0.3926 0.2511
0.9206 0.8757 0.0725
0.3947 0.0891 0.5799
0.9180 0.8951 0.5767
0.9057 0.6084 0.6766
0.1217 0.0837 0.3289
0.4001 0.3923 0.6727
0.3799 0.0828 0.0764
0.5997 0.6058 0.4256
0.4064 0.3844 0.1719
0.4180 0.1049 0.4233
0.6217 0.9163 0.6711
0.5895 0.8944 0.8285
0.4057 0.3916 0.3234
0.0895 0.1056 0.1715
0.2358 0.7516 0.9757
0.1179 0.0942 0.8302
0.3800 0.4109 0.8268
0.6106 0.6094 0.5784
0.6179 0.9058 0.1698
0.1106 0.3906 0.4216
0.9064 0.6156 0.8281
0.0997 0.3942 0.5744
0.8799 0.9172 0.9236
0.8800 0.5891 0.1732
0.9001 0.6077 0.3273
0.0889 0.1093 0.6736
0.6092 0.5810 0.9213
0.5889 0.8907 0.3264
0.8947 0.9109 0.4201
0.7358 0.2484 0.0243
0.4206 0.1243 0.9275
0.1092 0.4190 0.0787
0.2643 0.7609 0.7439
0.0495 0.3650 0.9296
0.2502 0.7499 0.4982
0.7643 0.2391 0.2561
0.7548 0.2550 0.7538
0.5495 0.6350 0.0704
0.7502 0.2501 0.5018
0.2548 0.7450 0.2462
```

The size of the total moment is 0.00 Bohr magnetons per cell. The total energy comes out at -48.59 eV/atom. As for the symmetry: P2_1, No. 4.

=====

This record from Alexandria describes a PBEsol-optimized structure of Zn2SnSe. The functional is meta-GGA SCAN.

```
Zn2SnSe
1.0
-4.2866 -0.3742 2.1112
-3.8989 -0.9060 -2.6363
-2.1582 -4.2689 0.3020
Se Sn Zn
1 1 2
direct
0.0000 0.0000 0.0000
0.5000 0.5000 0.5000
0.2500 0.2500 0.2500
0.7500 0.7500 0.7500
```

The size of the total moment is 0.00 Bohr magnetons per cell. The total energy comes out at -20.41 eV/atom. As for the symmetry: Fm-3m, No. 225. The calculation puts the density of states at the Fermi level at 2.34 states/eV per cell.

=====

This record from Alexandria describes a PBEsol-optimized structure of SrSe3. The functional is meta-GGA SCAN.

```
SrSe3
1.0
-3.0290 1.5838 -4.5306
2.4612 -4.0868 -3.0741
-4.1203 -3.6054 1.4943
Sr Se
2 6
direct
0.0000 0.0000 0.0000
0.5000 0.5000 0.5000
0.2500 0.5000 0.0000
0.5000 0.0000 0.7500
0.7500 0.5000 0.0000
0.5000 0.0000 0.2500
0.0000 0.2500 0.5000
0.0000 0.7500 0.5000
```

The size of the total moment is 0.00 Bohr magnetons per cell. The total energy comes out at -21.36 eV/atom. As for the symmetry: Pm-3n, No. 223. The calculation puts the density of states at the Fermi level at 8.06 states/eV per cell.

=====

This record from Alexandria describes a PBEsol-optimized structure of SrSe3. The functional is meta-GGA SCAN.

```
SrSe3
1.0
4.1782 0.0000 0.0000
0.0000 4.1782 0.0000
0.0000 0.0000 5.9889
Se Sr
3 1
direct
0.5000 0.5000 0.5000
0.0000 0.0000 0.0000
0.5000 0.5000 0.0000
0.0000 0.0000 0.5000
```

The size of the total moment is 0.00 Bohr magnetons per cell. The total energy comes out at -21.55 eV/atom. As for the symmetry: P4/mmm, No. 123. The calculation puts the density of states at the Fermi level at 1.17 states/eV per cell.